Record 1
Below is a relaxed CuSb2S4 crystal, with properties calculated at the GGA-PBE level.

Computed properties:
- Formation energy without anion corrections: -100 meV per atom
- DFT total energy: -59.1 eV/cell
- Excess energy over the best structure of this formula in the dataset: 60 kJ/mol of formula units
- Total moment: 0.000 μB per atom
- Calculated volume: 24.511 Å³/atom

POSCAR file:
```
CuSb2S4
1.0
1.993 -6.299 0.000
1.993 6.299 0.000
0.000 0.000 13.665
Cu Sb S
2 4 8
Cartesian
1.993 6.281 10.249
1.993 -6.281 3.416
1.993 1.745 0.847
1.993 1.745 5.985
1.993 -1.745 7.680
1.993 -1.745 12.818
0.000 0.000 0.000
0.000 0.000 6.832
1.993 2.943 8.357
1.993 2.943 12.140
1.993 0.763 3.416
1.993 -0.763 10.249
1.993 -2.943 1.525
1.993 -2.943 5.308
```

Record 2
Below is a relaxed CuSbS4 crystal, with properties calculated at the GGA-PBE level.

Computed properties:
- Formation energy without anion corrections: 29 meV per atom
- DFT total energy: -49.1 eV/cell
- Total moment: 0.000 μB per atom
- Calculated volume: 23.604 Å³/atom

POSCAR file:
```
CuSbS4
1.0
3.420 -7.117 0.000
3.420 7.117 0.000
-3.381 0.000 5.819
Cu Sb S
2 2 8
Cartesian
0.884 6.267 4.364
2.575 -6.267 1.455
2.575 0.940 1.455
0.884 -0.940 4.364
0.679 2.460 1.632
-1.001 0.789 4.616
0.689 -0.789 1.706
-1.012 -2.460 4.542
4.470 2.460 1.277
2.770 0.789 4.112
4.460 -0.789 1.203
2.780 -2.460 4.186
```